This record from the Alexandria database describes Sr3Sb2MoO9 after structural relaxation. The functional is PBE with a Hubbard U.

Properties
For the magnetization, the calculation gives 3.2 μB per formula unit. The value obtained for the calculated volume is 14.2 Å³ per atom. The total DFT energy (no corrections) is -6.40 eV/atom. The symmetry is P-3m1, No. 164.

Cell lengths 5.8623, 5.8623, 7.1738 Å; angles 90.00, 90.00, 120.00 degrees
Last column: nearest neighbours and their distance in Å.
Atoms (fractional coordinates):
Sr 0.0000 0.0000 0.0000  12 O 2.93
Sr 0.3333 0.6667 0.6603  12 O 2.90-2.97
Sr 0.6667 0.3333 0.3397  12 O 2.90-2.97
Sb 0.3333 0.6667 0.1693  6 O 2.00-2.08
Sb 0.6667 0.3333 0.8307  6 O 2.00-2.08
Mo 0.0000 0.0000 0.5000  6 O 2.13
O 0.0000 0.5000 0.0000  2 Sb 2.08
O 0.1712 0.3424 0.3281  1 Sb 2.00, 1 Mo 2.13
O 0.1712 0.8288 0.3281  1 Sb 2.00, 1 Mo 2.13
O 0.3424 0.1712 0.6719  1 Sb 2.00, 1 Mo 2.13
O 0.5000 0.0000 0.0000  2 Sb 2.08
O 0.5000 0.5000 0.0000  2 Sb 2.08
O 0.6576 0.8288 0.3281  1 Sb 2.00, 1 Mo 2.13
O 0.8288 0.1712 0.6719  1 Sb 2.00, 1 Mo 2.13
O 0.8288 0.6576 0.6719  1 Sb 2.00, 1 Mo 2.13